No. 1
First-principles (PBE) data for Be2AgAu6 after structural relaxation, as listed in the Alexandria database.

Values from the calculation:
Magnetic moment (μB per atom): 0.0000
Energy (eV/atom): -3.365
Energy of formation (meV per atom): -35
V (Å³ per atom): 17.28

a = 3.4041 Å, b = 7.0369 Å, c = 7.0369 Å
α = 97.55°, β = 76.07°, γ = 76.07°
With the nearest neighbours (Å) after each atom.
Fractional coordinates of all 9 atoms:
Be1 0.3098 0.6897 0.6897  6 Au 2.36-2.37
Be2 0.6902 0.3103 0.3103  6 Au 2.36-2.37
Au1 0.2733 0.3656 0.0878  2 Be 2.36
Au2 0.7267 0.9122 0.6344  2 Be 2.36
Au3 0.5000 0.6614 0.3386  2 Be 2.37
Au4 0.7267 0.6344 0.9122  2 Be 2.36
Au5 0.2733 0.0878 0.3656  2 Be 2.36
Au6 0.5000 0.3386 0.6614  2 Be 2.37
Ag1 0.0000 0.0000 0.0000  2 Be 2.68, 8 Au 2.98

No. 2
First-principles (PBE) data for LiYPaN3 after structural relaxation, as listed in the Alexandria database.

Values from the calculation:
Magnetic moment (μB per atom): 0.0000
Energy (eV/atom): -8.404
V (Å³ per atom): 13.49
Formation energy from raw total energies (kJ per mole of atoms): -121.8

a = 3.3272 Å, b = 7.3097 Å, c = 6.7868 Å
α = 101.35°, β = 90.00°, γ = 90.00°
With the nearest neighbours (Å) after each atom.
Fractional coordinates of all 12 atoms:
Pa1 0.2500 0.1830 0.2135  5 N 2.21-2.40
Pa2 0.7500 0.8170 0.7865  5 N 2.21-2.40
N1 0.7500 0.4068 0.1638  3 Y 2.36-2.43, 2 Pa 2.40
N2 0.7500 0.8789 0.1186  1 Li 1.94
N3 0.2500 0.5932 0.8362  3 Y 2.36-2.43, 2 Pa 2.40
N4 0.7500 0.1852 0.4591  3 Li 1.92-2.09
N5 0.2500 0.1211 0.8814  1 Li 1.94
N6 0.2500 0.8148 0.5409  3 Li 1.92-2.09
Li1 0.7500 0.9171 0.4096  4 N 1.92-2.09
Li2 0.2500 0.0829 0.5904  4 N 1.92-2.09
Y1 0.7500 0.3474 0.8094  6 N 2.36-2.46
Y2 0.2500 0.6526 0.1906  6 N 2.36-2.46

No. 3
First-principles (PBE) data for TeMoP2Pt after structural relaxation, as listed in the Alexandria database.

Values from the calculation:
Magnetic moment (μB per atom): 0.6445
Energy (eV/atom): -5.282
V (Å³ per atom): 22.87
Formation energy from raw total energies (kJ per mole of atoms): 85.4

a = 4.5333 Å, b = 5.5639 Å, c = 4.5333 Å
α = 90.00°, β = 90.00°, γ = 90.00°
With the nearest neighbours (Å) after each atom.
Fractional coordinates of all 5 atoms:
P1 0.0000 0.0000 0.5000  2 Pt 2.27
P2 0.5000 0.0000 0.0000  2 Pt 2.27
Mo1 0.0000 0.5000 0.0000  2 Pt 2.78
Pt1 0.0000 0.0000 0.0000  4 P 2.27
Te1 0.5000 0.5000 0.5000  4 Mo 3.21, 8 P 3.59

No. 4
First-principles (PBE) data for Ca2GaHPt6 after structural relaxation, as listed in the Alexandria database.

Values from the calculation:
Magnetic moment (μB per atom): 0.0000
Energy (eV/atom): -5.300
V (Å³ per atom): 17.13

a = 5.6430 Å, b = 7.0156 Å, c = 5.6421 Å
α = 66.27°, β = 60.00°, γ = 90.01°
With the nearest neighbours (Å) after each atom.
Fractional coordinates of all 10 atoms:
Ca1 0.2866 0.8591 0.4266  9 Pt 3.02-3.28, 3 Ga 3.37-3.38
Ca2 0.7134 0.1409 0.5734  9 Pt 3.02-3.28, 3 Ga 3.37-3.38
Pt1 0.2232 0.6862 0.0447  1 H 2.02
Pt2 0.7316 0.6856 0.5367  1 H 2.02
Pt3 0.2680 0.3137 0.9555  1 H 2.02
Pt4 0.7320 0.6863 0.0445  1 H 2.02
Pt5 0.2684 0.3144 0.4633  1 H 2.02
Pt6 0.7768 0.3138 0.9553  1 H 2.02
H1 0.5000 0.5000 0.0000  6 Pt 2.02
Ga1 0.0000 0.0000 0.0000  6 Pt 2.52